1.
GdGaSn2 | PBE-GGA | relaxed

Cell and atoms, written as CIF:
```
data_GdGaSn2
_symmetry_space_group_name_H-M 'P 4/m m m'
_symmetry_Int_Tables_number 123
_symmetry_space_group_name_Hall '-P 4 2'
_cell_length_a 3.886
_cell_length_b 3.886
_cell_length_c 6.603
_cell_angle_alpha 90.00
_cell_angle_beta 90.00
_cell_angle_gamma 90.00
loop_
_atom_site_label
_atom_site_type_symbol
_atom_site_fract_x
_atom_site_fract_y
_atom_site_fract_z
_atom_site_occupancy
Gd1 Gd 0.000 0.000 0.000 1
Ga1 Ga 0.000 0.000 0.500 1
Sn1 Sn 0.500 0.500 0.278 1
```

energy of formation: -0.360 eV per atom
distance to the lowest polymorph of the same formula: 0.55 eV/f.u.
V: 100 Å³ per cell

***

2.
BaCuBr2 | PBE-GGA | relaxed

Cell and atoms, written as CIF:
```
data_BaCuBr2
_symmetry_space_group_name_H-M 'I -4 m 2'
_symmetry_Int_Tables_number 119
_symmetry_space_group_name_Hall 'I -4 -2'
_cell_length_a 4.566
_cell_length_b 4.566
_cell_length_c 11.279
_cell_angle_alpha 90.00
_cell_angle_beta 90.00
_cell_angle_gamma 90.00
loop_
_atom_site_label
_atom_site_type_symbol
_atom_site_fract_x
_atom_site_fract_y
_atom_site_fract_z
_atom_site_occupancy
Ba1 Ba 0.000 0.000 0.000 1
Cu1 Cu 0.000 0.500 0.250 1
Br1 Br 0.000 0.000 0.500 1
Br2 Br 0.000 0.500 0.750 1
```

distance to the lowest polymorph of the same formula: 0.56 eV/f.u.
uncorrected formation energy: -0.863 eV per atom
V: 235 Å³ per cell

***

3.
Be4GaIr5 | PBE-GGA | relaxed

Cell and atoms, written as CIF:
```
data_Be4GaIr5
_symmetry_space_group_name_H-M 'P 4/m m m'
_symmetry_Int_Tables_number 123
_symmetry_space_group_name_Hall '-P 4 2'
_cell_length_a 2.855
_cell_length_b 2.855
_cell_length_c 14.364
_cell_angle_alpha 90.00
_cell_angle_beta 90.00
_cell_angle_gamma 90.00
loop_
_atom_site_label
_atom_site_type_symbol
_atom_site_fract_x
_atom_site_fract_y
_atom_site_fract_z
_atom_site_occupancy
Be1 Be 0.000 0.000 0.096 1
Be2 Be 0.000 0.000 0.288 1
Ga1 Ga 0.000 0.000 0.500 1
Ir1 Ir 0.500 0.500 0.000 1
Ir2 Ir 0.500 0.500 0.192 1
Ir3 Ir 0.500 0.500 0.386 1
```

energy of formation: -0.512 eV per atom
V: 117 Å³ per cell

***

4.
SmEr2Rh9 | PBE-GGA | relaxed

Cell and atoms, written as CIF:
```
data_SmEr2Rh9
_symmetry_space_group_name_H-M 'R -3 m'
_symmetry_Int_Tables_number 166
_symmetry_space_group_name_Hall '-R 3 2"'
_cell_length_a 5.2649
_cell_length_b 5.2649
_cell_length_c 26.2345
_cell_angle_alpha 90.00
_cell_angle_beta 90.00
_cell_angle_gamma 120.00
loop_
_atom_site_label
_atom_site_type_symbol
_atom_site_fract_x
_atom_site_fract_y
_atom_site_fract_z
_atom_site_occupancy
Sm1 Sm 0.0000 0.0000 0.0000 1
Er1 Er 0.0000 0.0000 0.1394 1
Rh1 Rh 0.0000 0.0000 0.3331 1
Rh2 Rh 0.0000 0.0000 0.5000 1
Rh3 Rh 0.0008 0.5004 0.9167 1
```

energy of formation: -0.574 eV per atom
V: 630 Å³ per cell

***

5.
Nb2HgSe | PBE-GGA | relaxed

Cell and atoms, written as CIF:
```
data_Nb2HgSe
_symmetry_space_group_name_H-M 'I -4 2 d'
_symmetry_Int_Tables_number 122
_symmetry_space_group_name_Hall 'I -4 2bw'
_cell_length_a 4.109
_cell_length_b 4.109
_cell_length_c 19.545
_cell_angle_alpha 90.00
_cell_angle_beta 90.00
_cell_angle_gamma 90.00
loop_
_atom_site_label
_atom_site_type_symbol
_atom_site_fract_x
_atom_site_fract_y
_atom_site_fract_z
_atom_site_occupancy
Nb1 Nb 0.248 0.250 0.125 1
Hg1 Hg 0.000 0.000 0.000 1
Se1 Se 0.000 0.000 0.500 1
```

distance to the lowest polymorph of the same formula: 0.87 eV/f.u.
uncorrected formation energy: 0.386 eV per atom
V: 330 Å³ per cell

***

6.
Ca3VRu | PBE-GGA | relaxed

Cell and atoms, written as CIF:
```
data_Ca3VRu
_symmetry_space_group_name_H-M 'P m -3 m'
_symmetry_Int_Tables_number 221
_symmetry_space_group_name_Hall '-P 4 2 3'
_cell_length_a 5.477
_cell_length_b 5.477
_cell_length_c 5.477
_cell_angle_alpha 90.00
_cell_angle_beta 90.00
_cell_angle_gamma 90.00
loop_
_atom_site_label
_atom_site_type_symbol
_atom_site_fract_x
_atom_site_fract_y
_atom_site_fract_z
_atom_site_occupancy
Ca1 Ca 0.000 0.000 0.500 1
V1 V 0.000 0.000 0.000 1
Ru1 Ru 0.500 0.500 0.500 1
```

energy of formation: 1.361 eV per atom
distance to the lowest polymorph of the same formula: 3.23 eV/f.u.
V: 164 Å³ per cell

***

7.
Cs2HgSI6 | PBE-GGA | relaxed

Cell and atoms, written as CIF:
```
data_Cs2HgSI6
_symmetry_space_group_name_H-M 'I 4/m m m'
_symmetry_Int_Tables_number 139
_symmetry_space_group_name_Hall '-I 4 2'
_cell_length_a 8.390
_cell_length_b 8.390
_cell_length_c 12.193
_cell_angle_alpha 90.00
_cell_angle_beta 90.00
_cell_angle_gamma 90.00
loop_
_atom_site_label
_atom_site_type_symbol
_atom_site_fract_x
_atom_site_fract_y
_atom_site_fract_z
_atom_site_occupancy
Cs1 Cs 0.000 0.500 0.250 1
Hg1 Hg 0.000 0.000 0.000 1
S1 S 0.000 0.000 0.500 1
I1 I 0.000 0.000 0.277 1
I2 I 0.247 0.247 0.000 1
```

uncorrected formation energy: -0.601 eV per atom
V: 858 Å³ per cell

***

8.
Hf2FeSb | PBE-GGA | relaxed

Cell and atoms, written as CIF:
```
data_Hf2FeSb
_symmetry_space_group_name_H-M 'I -4 2 d'
_symmetry_Int_Tables_number 122
_symmetry_space_group_name_Hall 'I -4 2bw'
_cell_length_a 5.459
_cell_length_b 5.459
_cell_length_c 14.168
_cell_angle_alpha 90.00
_cell_angle_beta 90.00
_cell_angle_gamma 90.00
loop_
_atom_site_label
_atom_site_type_symbol
_atom_site_fract_x
_atom_site_fract_y
_atom_site_fract_z
_atom_site_occupancy
Hf1 Hf 0.164 0.250 0.125 1
Fe1 Fe 0.000 0.000 0.000 1
Sb1 Sb 0.000 0.000 0.500 1
```

uncorrected formation energy: 0.713 eV per atom
V: 422 Å³ per cell

***

9.
CdIn2Se | PBE-GGA | relaxed

Cell and atoms, written as CIF:
```
data_CdIn2Se
_symmetry_space_group_name_H-M 'F -4 3 m'
_symmetry_Int_Tables_number 216
_symmetry_space_group_name_Hall 'F -4 2 3'
_cell_length_a 7.527
_cell_length_b 7.527
_cell_length_c 7.527
_cell_angle_alpha 90.00
_cell_angle_beta 90.00
_cell_angle_gamma 90.00
loop_
_atom_site_label
_atom_site_type_symbol
_atom_site_fract_x
_atom_site_fract_y
_atom_site_fract_z
_atom_site_occupancy
Cd1 Cd 0.000 0.000 0.000 1
In1 In 0.000 0.000 0.500 1
In2 In 0.250 0.250 0.750 1
Se1 Se 0.250 0.250 0.250 1
```

distance to the lowest polymorph of the same formula: 0.91 eV/f.u.
uncorrected formation energy: 0.033 eV per atom
V: 426 Å³ per cell

***

10.
LaZrBe2 | PBE-GGA | relaxed

Cell and atoms, written as CIF:
```
data_LaZrBe2
_symmetry_space_group_name_H-M 'P 4 m m'
_symmetry_Int_Tables_number 99
_symmetry_space_group_name_Hall 'P 4 -2'
_cell_length_a 2.974
_cell_length_b 2.974
_cell_length_c 8.227
_cell_angle_alpha 90.00
_cell_angle_beta 90.00
_cell_angle_gamma 90.00
loop_
_atom_site_label
_atom_site_type_symbol
_atom_site_fract_x
_atom_site_fract_y
_atom_site_fract_z
_atom_site_occupancy
La1 La 0.000 0.000 0.000 1
Zr1 Zr 0.500 0.500 0.372 1
Be1 Be 0.000 0.000 0.598 1
Be2 Be 0.500 0.500 0.713 1
```

energy of formation: 0.253 eV per atom
distance to the lowest polymorph of the same formula: 0.71 eV/f.u.
V: 73 Å³ per cell

***

11.
SrTc2Os | PBE-GGA | relaxed

Cell and atoms, written as CIF:
```
data_SrTc2Os
_symmetry_space_group_name_H-M 'P 4/m m m'
_symmetry_Int_Tables_number 123
_symmetry_space_group_name_Hall '-P 4 2'
_cell_length_a 4.065
_cell_length_b 4.065
_cell_length_c 4.379
_cell_angle_alpha 90.00
_cell_angle_beta 90.00
_cell_angle_gamma 90.00
loop_
_atom_site_label
_atom_site_type_symbol
_atom_site_fract_x
_atom_site_fract_y
_atom_site_fract_z
_atom_site_occupancy
Sr1 Sr 0.000 0.000 0.000 1
Tc1 Tc 0.000 0.500 0.500 1
Os1 Os 0.500 0.500 0.000 1
```

energy of formation: 1.323 eV per atom
distance to the lowest polymorph of the same formula: 2.85 eV/f.u.
V: 72 Å³ per cell

***

12.
KTaPd3 | PBE-GGA | relaxed

Cell and atoms, written as CIF:
```
data_KTaPd3
_symmetry_space_group_name_H-M 'P m -3 m'
_symmetry_Int_Tables_number 221
_symmetry_space_group_name_Hall '-P 4 2 3'
_cell_length_a 4.799
_cell_length_b 4.799
_cell_length_c 4.799
_cell_angle_alpha 90.00
_cell_angle_beta 90.00
_cell_angle_gamma 90.00
loop_
_atom_site_label
_atom_site_type_symbol
_atom_site_fract_x
_atom_site_fract_y
_atom_site_fract_z
_atom_site_occupancy
K1 K 0.000 0.000 0.000 1
Ta1 Ta 0.500 0.500 0.500 1
Pd1 Pd 0.000 0.000 0.500 1
```

energy of formation: 1.855 eV per atom
distance to the lowest polymorph of the same formula: 6.67 eV/f.u.
V: 111 Å³ per cell